A plane-wave DFT calculation with PBE was carried out for an optimized crystal structure of ThPaRhAu.

Cell: 5.0742 5.0742 5.0742 Å, 60.00 60.00 60.00°
Last column: nearest neighbours and their distance in Å.
Positions (direct):
Th  0.0000  0.0000  0.0000  4 Rh 3.11, 4 Au 3.11
Pa  0.5000  0.5000  0.5000  4 Rh 3.11, 4 Au 3.11
Rh  0.7500  0.7500  0.7500  4 Th 3.11, 4 Pa 3.11
Au  0.2500  0.2500  0.2500  4 Th 3.11, 4 Pa 3.11

Values from the calculation:
Calculated formation energy ... -0.44 eV/atom
Size of the total moment ... 0.915 μB per formula unit

A plane-wave DFT calculation with PBE was carried out for an optimized crystal structure of TmPaRhAu.

Cell: 4.9679 4.9679 4.9679 Å, 60.00 60.00 60.00°
Last column: nearest neighbours and their distance in Å.
Positions (direct):
Tm  0.0000  0.0000  0.0000  4 Rh 3.04, 4 Au 3.04
Pa  0.5000  0.5000  0.5000  4 Rh 3.04, 4 Au 3.04
Rh  0.7500  0.7500  0.7500  4 Pa 3.04, 4 Tm 3.04
Au  0.2500  0.2500  0.2500  4 Pa 3.04, 4 Tm 3.04

Values from the calculation:
Calculated formation energy ... -0.56 eV/atom
Size of the total moment ... 0.656 μB per formula unit

A plane-wave DFT calculation with PBE was carried out for an optimized crystal structure of UPaRhAu.

Cell: 4.7910 4.7910 4.7910 Å, 60.00 60.00 60.00°
Last column: nearest neighbours and their distance in Å.
Positions (direct):
U  0.0000  0.0000  0.0000  4 Pa 2.93, 4 Au 2.93
Pa  0.7500  0.7500  0.7500  4 U 2.93, 4 Rh 2.93
Rh  0.5000  0.5000  0.5000  4 Pa 2.93, 4 Au 2.93
Au  0.2500  0.2500  0.2500  4 U 2.93, 4 Rh 2.93

Values from the calculation:
Calculated formation energy ... -0.43 eV/atom
Size of the total moment ... 3.055 μB per formula unit

A plane-wave DFT calculation with PBE was carried out for an optimized crystal structure of PaZnRhAu.

Cell: 4.7681 4.7681 4.7681 Å, 60.00 60.00 60.00°
Last column: nearest neighbours and their distance in Å.
Positions (direct):
Pa  0.0000  0.0000  0.0000  4 Rh 2.92, 4 Au 2.92
Zn  0.5000  0.5000  0.5000  4 Au 2.92, 4 Rh 2.92
Rh  0.7500  0.7500  0.7500  4 Zn 2.92, 4 Pa 2.92
Au  0.2500  0.2500  0.2500  4 Zn 2.92, 4 Pa 2.92

Values from the calculation:
Calculated formation energy ... -0.41 eV/atom
Size of the total moment ... 0.000 μB per formula unit

A plane-wave DFT calculation with PBE was carried out for an optimized crystal structure of ZrPa2Rh5Au.

Cell: 7.9530 7.9530 7.9530 Å, 120.21 120.21 89.64°
Last column: nearest neighbours and their distance in Å.
Positions (direct):
Zr  0.2500  0.2500  0.0000  10 Rh 2.82-3.11
Zr  0.7500  0.7500  0.0000  10 Rh 2.82-3.11
Pa  0.1322  0.6322  0.7644  2 Rh 2.39
Pa  0.3678  0.1322  0.5000  2 Rh 2.39
Pa  0.6322  0.8678  0.5000  2 Rh 2.39
Pa  0.8678  0.3678  0.2356  2 Rh 2.39
Rh  0.0000  0.0000  0.0000  2 Zr 2.82, 4 Pa 3.10
Rh  0.0686  0.1556  0.5000  1 Pa 2.39, 1 Au 2.64
Rh  0.1556  0.6556  0.0870  1 Pa 2.39, 1 Au 2.64
Rh  0.3444  0.4314  0.5000  1 Pa 2.39, 1 Au 2.64
Rh  0.4314  0.9314  0.0870  1 Pa 2.39, 1 Au 2.64
Rh  0.5000  0.5000  0.0000  2 Zr 2.82, 4 Pa 3.10
Rh  0.5686  0.0686  0.9130  1 Pa 2.39, 1 Au 2.64
Rh  0.6556  0.5686  0.5000  1 Pa 2.39, 1 Au 2.64
Rh  0.8444  0.3444  0.9130  1 Pa 2.39, 1 Au 2.64
Rh  0.9314  0.8444  0.5000  1 Pa 2.39, 1 Au 2.64
Au  0.2500  0.7500  0.5000  4 Rh 2.64
Au  0.7500  0.2500  0.5000  4 Rh 2.64

Values from the calculation:
Calculated formation energy ... -0.36 eV/atom
Size of the total moment ... 0.000 μB per formula unit

A plane-wave DFT calculation with PBE was carried out for an optimized crystal structure of PaRu2Au.

Cell: 4.6512 4.6512 4.6512 Å, 60.00 60.00 60.00°
Last column: nearest neighbours and their distance in Å.
Positions (direct):
Pa  0.0000  0.0000  0.0000  8 Ru 2.85
Ru  0.2500  0.2500  0.2500  4 Au 2.85, 4 Pa 2.85
Ru  0.7500  0.7500  0.7500  4 Pa 2.85, 4 Au 2.85
Au  0.5000  0.5000  0.5000  8 Ru 2.85

Values from the calculation:
Calculated formation energy ... -0.20 eV/atom
Energy relative to the lowest polymorph listed for this composition ... 241.5 meV per atom
Size of the total moment ... 0.000 μB per formula unit

A plane-wave DFT calculation with PBE was carried out for an optimized crystal structure of PaRuAu.

Cell: 4.9551 4.9551 5.4172 Å, 90.00 90.00 117.08°
Last column: nearest neighbours and their distance in Å.
Positions (direct):
Pa  0.1645  0.8355  0.7500  5 Ru 2.71-2.93
Pa  0.8355  0.1645  0.2500  5 Ru 2.71-2.93
Ru  0.1823  0.8177  0.2500  5 Pa 2.71-2.93, 2 Au 3.01
Ru  0.8177  0.1823  0.7500  5 Pa 2.71-2.93, 2 Au 3.01
Au  0.5000  0.5000  0.0000  2 Au 2.71, 2 Ru 3.01
Au  0.5000  0.5000  0.5000  2 Au 2.71, 2 Ru 3.01

Values from the calculation:
Calculated formation energy ... -0.38 eV/atom
Energy relative to the lowest polymorph listed for this composition ... 72.2 meV per atom
Size of the total moment ... 0.000 μB per formula unit

A plane-wave DFT calculation with PBE was carried out for an optimized crystal structure of PaRuAu.

Cell: 4.9373 4.9373 4.9373 Å, 132.67 132.67 69.17°
Last column: nearest neighbours and their distance in Å.
Positions (direct):
Pa  0.0000  0.0000  0.0000  1 Ru 2.35
Ru  0.2892  0.2892  0.0000  1 Pa 2.35
Au  0.6429  0.6429  0.0000  5 Ru 2.88-3.04, 5 Pa 2.90-3.03

Values from the calculation:
Calculated formation energy ... -0.18 eV/atom
Energy relative to the lowest polymorph listed for this composition ... 271.3 meV per atom
Size of the total moment ... 0.000 μB per formula unit

A plane-wave DFT calculation with PBE was carried out for an optimized crystal structure of PaRu2Au.

Cell: 7.6128 7.6128 7.6128 Å, 26.09 26.09 26.09°
Last column: nearest neighbours and their distance in Å.
Positions (direct):
Pa  0.0000  0.0000  0.0000  6 Ru 2.62
Ru  0.2560  0.2560  0.2560  3 Pa 2.62, 3 Au 2.80
Ru  0.7440  0.7440  0.7440  3 Pa 2.62, 3 Au 2.80
Au  0.5000  0.5000  0.5000  6 Ru 2.80

Values from the calculation:
Calculated formation energy ... -0.06 eV/atom
Energy relative to the lowest polymorph listed for this composition ... 385.3 meV per atom
Size of the total moment ... 0.000 μB per formula unit

A plane-wave DFT calculation with PBE was carried out for an optimized crystal structure of PaRuAu.

Cell: 4.6118 4.6118 3.2264 Å, 90.00 90.00 120.00°
Last column: nearest neighbours and their distance in Å.
Positions (direct):
Pa  0.0000  0.0000  0.0000  3 Ru 2.75, 3 Au 3.03
Ru  0.6667  0.3333  0.7883  3 Pa 2.75, 3 Au 2.88
Au  0.3333  0.6667  0.4481  3 Ru 2.88, 6 Pa 3.03-3.20

Values from the calculation:
Calculated formation energy ... -0.14 eV/atom
Energy relative to the lowest polymorph listed for this composition ... 309.6 meV per atom
Size of the total moment ... 0.000 μB per formula unit

A plane-wave DFT calculation with PBE was carried out for an optimized crystal structure of PaRu2Au.

Cell: 4.2737 4.2737 3.8229 Å, 90.00 90.00 90.00°
Last column: nearest neighbours and their distance in Å.
Positions (direct):
Pa  0.0000  0.0000  0.0000  8 Ru 2.87, 4 Au 3.02
Ru  0.0000  0.5000  0.5000  4 Pa 2.87, 4 Au 2.87, 4 Ru 3.02
Ru  0.5000  0.0000  0.5000  4 Pa 2.87, 4 Au 2.87, 4 Ru 3.02
Au  0.5000  0.5000  0.0000  8 Ru 2.87, 4 Pa 3.02

Values from the calculation:
Calculated formation energy ... -0.44 eV/atom
Energy relative to the lowest polymorph listed for this composition ... 0.0 meV per atom
Size of the total moment ... 0.000 μB per formula unit

A plane-wave DFT calculation with PBE was carried out for an optimized crystal structure of PaRuAu.

Cell: 4.0732 5.1203 6.5588 Å, 76.66 75.89 69.07°
Last column: nearest neighbours and their distance in Å.
Positions (direct):
Pa  0.0735  0.1703  0.1799  2 Ru 2.46-2.71
Pa  0.9265  0.8297  0.8201  2 Ru 2.46-2.71
Ru  0.2891  0.6643  0.1489  2 Pa 2.46-2.71, 1 Ru 2.72
Ru  0.7109  0.3357  0.8511  2 Pa 2.46-2.71, 1 Ru 2.72
Au  0.3399  0.2774  0.5521  3 Ru 2.79-2.92, 3 Au 2.84-3.00
Au  0.6601  0.7226  0.4479  3 Ru 2.79-2.92, 3 Au 2.84-3.00

Values from the calculation:
Calculated formation energy ... -0.45 eV/atom
Energy relative to the lowest polymorph listed for this composition ... 0.0 meV per atom
Size of the total moment ... 0.000 μB per formula unit

A plane-wave DFT calculation with PBE was carried out for an optimized crystal structure of SmPaRuAu.

Cell: 5.0088 5.0088 5.0088 Å, 60.00 60.00 60.00°
Last column: nearest neighbours and their distance in Å.
Positions (direct):
Sm  0.0000  0.0000  0.0000  4 Ru 3.07, 4 Au 3.07
Pa  0.5000  0.5000  0.5000  4 Ru 3.07, 4 Au 3.07
Ru  0.7500  0.7500  0.7500  4 Pa 3.07, 4 Sm 3.07
Au  0.2500  0.2500  0.2500  4 Pa 3.07, 4 Sm 3.07

Values from the calculation:
Calculated formation energy ... -0.30 eV/atom
Size of the total moment ... 0.002 μB per formula unit

A plane-wave DFT calculation with PBE was carried out for an optimized crystal structure of PaSnRuAu.

Cell: 4.8820 4.8820 4.8820 Å, 60.00 60.00 60.00°
Last column: nearest neighbours and their distance in Å.
Positions (direct):
Pa  0.0000  0.0000  0.0000  4 Ru 2.99, 4 Au 2.99
Sn  0.5000  0.5000  0.5000  4 Ru 2.99, 4 Au 2.99
Ru  0.7500  0.7500  0.7500  4 Pa 2.99, 4 Sn 2.99
Au  0.2500  0.2500  0.2500  4 Sn 2.99, 4 Pa 2.99

Values from the calculation:
Calculated formation energy ... -0.22 eV/atom
Size of the total moment ... 0.000 μB per formula unit

Raw total energy, respectively: -7.3250 -6.7122 -8.2817 -5.7591 -7.8675 -8.0318 -7.7298 -7.5307 -7.8879 -7.4925 -8.2732 -7.8020 -6.9921 -6.7328 eV per atom.